Density functional theory data (SCAN) for SrCoPt2 at its PBEsol-relaxed geometry.

## Properties
Mass density: 12.8 g/cm3
D(E_F): 0.62 states/eV per atom
Total DFT energy (no corrections): -44.958 eV per atom

Unit cell a=4.6220 b=4.6220 c=4.6220 alpha=60.00 beta=60.00 gamma=60.00
With the nearest neighbours (Å) after each atom.
Element x y z (fractional)
Sr (0.0000, 0.0000, 0.0000)  4 Co 2.83, 4 Pt 2.83
Co (0.7500, 0.7500, 0.7500)  4 Sr 2.83, 4 Pt 2.83
Pt (0.2500, 0.2500, 0.2500)  4 Pt 2.83, 4 Sr 2.83
Pt (0.5000, 0.5000, 0.5000)  4 Co 2.83, 4 Pt 2.83


Density functional theory data (SCAN) for CaNdGa3O7 at its PBEsol-relaxed geometry.

## Properties
Excess energy over the best structure of this formula in the dataset: 0.007 eV/atom
Mass density: 5.2 g/cm3
D(E_F): 0.00 states/eV per atom

Unit cell a=7.8831 b=7.8831 c=5.2181 alpha=90.00 beta=90.00 gamma=90.72
With the nearest neighbours (Å) after each atom.
Element x y z (fractional)
Ca (0.1589, 0.1589, 0.0000)  6 O 2.40-2.55
Ca (0.8411, 0.8411, 0.0000)  6 O 2.40-2.55
Nd (0.3380, 0.6620, 0.9716)  6 O 2.40-2.53
Nd (0.6620, 0.3380, 0.9716)  6 O 2.40-2.53
Ga (0.0000, 0.5000, 0.4727)  4 O 1.83
Ga (0.1426, 0.8574, 0.5179)  4 O 1.80-1.86
Ga (0.3532, 0.3532, 0.4473)  4 O 1.80-1.86
Ga (0.5000, 0.0000, 0.4727)  4 O 1.83
Ga (0.6468, 0.6468, 0.4473)  4 O 1.80-1.86
Ga (0.8574, 0.1426, 0.5179)  4 O 1.80-1.86
O (0.0000, 0.0000, 0.6885)  2 Ga 1.83
O (0.0972, 0.6554, 0.6910)  2 Ga 1.83-1.86
O (0.1433, 0.8567, 0.1730)  1 Ga 1.80
O (0.1624, 0.4125, 0.2610)  2 Ga 1.83-1.86
O (0.3446, 0.9028, 0.6910)  2 Ga 1.83-1.86
O (0.3651, 0.3651, 0.7922)  1 Ga 1.80
O (0.4125, 0.1624, 0.2610)  2 Ga 1.83-1.86
O (0.5000, 0.5000, 0.2776)  2 Ga 1.85
O (0.5875, 0.8376, 0.2610)  2 Ga 1.83-1.86
O (0.6349, 0.6349, 0.7922)  1 Ga 1.80
O (0.6554, 0.0972, 0.6910)  2 Ga 1.83-1.86
O (0.8376, 0.5875, 0.2610)  2 Ga 1.83-1.86
O (0.8567, 0.1433, 0.1730)  1 Ga 1.80
O (0.9028, 0.3446, 0.6910)  2 Ga 1.83-1.86


Density functional theory data (SCAN) for Ca2TaSe at its PBEsol-relaxed geometry.

## Properties
Mass density: 5.9 g/cm3
D(E_F): 0.59 states/eV per atom
Total DFT energy (no corrections): -26.386 eV per atom

Unit cell a=5.0852 b=5.0852 c=3.6923 alpha=90.00 beta=90.00 gamma=90.00
With the nearest neighbours (Å) after each atom.
Element x y z (fractional)
Ca (0.0000, 0.5000, 0.0000)  4 Ta 3.14, 4 Se 3.14
Ca (0.5000, 0.0000, 0.0000)  4 Ta 3.14, 4 Se 3.14
Ta (0.0000, 0.0000, 0.5000)  8 Ca 3.14
Se (0.5000, 0.5000, 0.5000)  8 Ca 3.14


Density functional theory data (SCAN) for NiB2Pd at its PBEsol-relaxed geometry.

## Properties
Mass density: 8.5 g/cm3
D(E_F): 0.55 states/eV per atom
Total DFT energy (no corrections): -15.541 eV per atom

Unit cell a=3.7210 b=3.7210 c=3.7210 alpha=60.00 beta=60.00 gamma=60.00
With the nearest neighbours (Å) after each atom.
Element x y z (fractional)
Ni (0.0000, 0.0000, 0.0000)  8 B 2.28
B (0.2500, 0.2500, 0.2500)  4 Ni 2.28, 4 Pd 2.28
B (0.7500, 0.7500, 0.7500)  4 Ni 2.28, 4 Pd 2.28
Pd (0.5000, 0.5000, 0.5000)  8 B 2.28


Density functional theory data (SCAN) for Sr2Hg at its PBEsol-relaxed geometry.

## Properties
Mass density: 5.1 g/cm3
D(E_F): 1.09 states/eV per atom
Total DFT energy (no corrections): -38.019 eV per atom

Unit cell a=7.9051 b=7.9051 c=7.9051 alpha=90.00 beta=90.00 gamma=90.00
With the nearest neighbours (Å) after each atom.
Element x y z (fractional)
Sr (0.1547, 0.1547, 0.1547)  3 Hg 3.23
Sr (0.1547, 0.3453, 0.6547)  3 Hg 3.23
Sr (0.3453, 0.6547, 0.1547)  3 Hg 3.23
Sr (0.3453, 0.8453, 0.6547)  3 Hg 3.23
Sr (0.6547, 0.1547, 0.3453)  3 Hg 3.23
Sr (0.6547, 0.3453, 0.8453)  3 Hg 3.23
Sr (0.8453, 0.6547, 0.3453)  3 Hg 3.23
Sr (0.8453, 0.8453, 0.8453)  3 Hg 3.23
Hg (0.0000, 0.0000, 0.5000)  6 Sr 3.23
Hg (0.0000, 0.5000, 0.0000)  6 Sr 3.23
Hg (0.5000, 0.0000, 0.0000)  6 Sr 3.23
Hg (0.5000, 0.5000, 0.5000)  6 Sr 3.23


Density functional theory data (SCAN) for CsCdN2O at its PBEsol-relaxed geometry.

## Properties
Mass density: 5.9 g/cm3
D(E_F): 0.35 states/eV per atom
Total DFT energy (no corrections): -16.495 eV per atom

Unit cell a=4.3573 b=4.3573 c=4.2613 alpha=90.00 beta=90.00 gamma=90.00
With the nearest neighbours (Å) after each atom.
Element x y z (fractional)
Cs (0.0000, 0.0000, 0.0000)  2 O 2.13, 4 N 2.18
Cd (0.5000, 0.5000, 0.5000)  8 N 3.05, 4 O 3.08
N (0.0000, 0.5000, 0.0000)  2 Cs 2.18
N (0.5000, 0.0000, 0.0000)  2 Cs 2.18
O (0.0000, 0.0000, 0.5000)  2 Cs 2.13


Density functional theory data (SCAN) for Li2AsRu at its PBEsol-relaxed geometry.

## Properties
Mass density: 5.7 g/cm3
D(E_F): 0.27 states/eV per atom
Total DFT energy (no corrections): -15.316 eV per atom

Unit cell a=3.1155 b=3.1155 c=5.7483 alpha=90.00 beta=90.00 gamma=90.00
With the nearest neighbours (Å) after each atom.
Element x y z (fractional)
Li (0.0000, 0.0000, 0.0000)  4 Li 2.69, 4 As 2.69, 1 Ru 2.70
Li (0.5000, 0.5000, 0.2677)  1 As 2.66, 4 Ru 2.67, 4 Li 2.69
As (0.5000, 0.5000, 0.7305)  4 Ru 2.49, 5 Li 2.66-2.69
Ru (0.0000, 0.0000, 0.5304)  4 As 2.49, 5 Li 2.67-2.70


Density functional theory data (SCAN) for CaScAlGe2 at its PBEsol-relaxed geometry.

## Properties
Mass density: 3.5 g/cm3
D(E_F): 0.56 states/eV per atom
Total DFT energy (no corrections): -13.753 eV per atom

Unit cell a=4.9371 b=4.9371 c=5.0112 alpha=90.00 beta=90.00 gamma=90.00
With the nearest neighbours (Å) after each atom.
Element x y z (fractional)
Ca (0.0000, 0.0000, 0.0000)  4 Sc 3.49, 8 Ge 3.52
Sc (0.5000, 0.5000, 0.0000)  2 Al 2.51
Al (0.5000, 0.5000, 0.5000)  4 Ge 2.47, 2 Sc 2.51
Ge (0.0000, 0.5000, 0.5000)  2 Al 2.47
Ge (0.5000, 0.0000, 0.5000)  2 Al 2.47


Density functional theory data (SCAN) for SrPHO4 at its PBEsol-relaxed geometry.

## Properties
Mass density: 3.6 g/cm3
D(E_F): 0.00 states/eV per atom
Total DFT energy (no corrections): -11.381 eV per atom

Unit cell a=8.0934 b=9.2034 c=18.0081 alpha=90.00 beta=90.00 gamma=90.00
With the nearest neighbours (Å) after each atom.
Element x y z (fractional)
Sr (0.1246, 0.1774, 0.1249)  7 O 2.48-2.74
Sr (0.1246, 0.3226, 0.6249)  7 O 2.48-2.74
Sr (0.1326, 0.1830, 0.8832)  9 O 2.54-2.82
Sr (0.1326, 0.3170, 0.3832)  9 O 2.54-2.82
Sr (0.3674, 0.6830, 0.8832)  9 O 2.54-2.82
Sr (0.3674, 0.8170, 0.3832)  9 O 2.54-2.82
Sr (0.3754, 0.6774, 0.1249)  7 O 2.48-2.74
Sr (0.3754, 0.8226, 0.6249)  7 O 2.48-2.74
Sr (0.6246, 0.1774, 0.3751)  7 O 2.48-2.74
Sr (0.6246, 0.3226, 0.8751)  7 O 2.48-2.74
Sr (0.6326, 0.1830, 0.6168)  9 O 2.54-2.82
Sr (0.6326, 0.3170, 0.1168)  9 O 2.54-2.82
Sr (0.8674, 0.6830, 0.6168)  9 O 2.54-2.82
Sr (0.8674, 0.8170, 0.1168)  9 O 2.54-2.82
Sr (0.8754, 0.6774, 0.3751)  7 O 2.48-2.74
Sr (0.8754, 0.8226, 0.8751)  7 O 2.48-2.74
P (0.0236, 0.0230, 0.2945)  4 O 1.52-1.60
P (0.0236, 0.4770, 0.7945)  4 O 1.52-1.60
P (0.2494, 0.0754, 0.5041)  4 O 1.53-1.59
P (0.2494, 0.4246, 0.0041)  4 O 1.53-1.59
P (0.2506, 0.5754, 0.5041)  4 O 1.53-1.59
P (0.2506, 0.9246, 0.0041)  4 O 1.53-1.59
P (0.4764, 0.5230, 0.2945)  4 O 1.52-1.60
P (0.4764, 0.9770, 0.7945)  4 O 1.52-1.60
P (0.5236, 0.0230, 0.2055)  4 O 1.52-1.60
P (0.5236, 0.4770, 0.7055)  4 O 1.52-1.60
P (0.7494, 0.0754, 0.9959)  4 O 1.53-1.59
P (0.7494, 0.4246, 0.4959)  4 O 1.53-1.59
P (0.7506, 0.5754, 0.9959)  4 O 1.53-1.59
P (0.7506, 0.9246, 0.4959)  4 O 1.53-1.59
P (0.9764, 0.5230, 0.2055)  4 O 1.52-1.60
P (0.9764, 0.9770, 0.7055)  4 O 1.52-1.60
H (0.0725, 0.6190, 0.9994)  1 O 1.09
H (0.0725, 0.8810, 0.4994)  1 O 1.09
H (0.2030, 0.5728, 0.2809)  1 O 1.08
H (0.2030, 0.9272, 0.7809)  1 O 1.08
H (0.2970, 0.0728, 0.2809)  1 O 1.08
H (0.2970, 0.4272, 0.7809)  1 O 1.08
H (0.4275, 0.1190, 0.9994)  1 O 1.09
H (0.4275, 0.3810, 0.4994)  1 O 1.09
H (0.5725, 0.6190, 0.5006)  1 O 1.09
H (0.5725, 0.8810, 0.0006)  1 O 1.09
H (0.7030, 0.5728, 0.2191)  1 O 1.08
H (0.7030, 0.9272, 0.7191)  1 O 1.08
H (0.7970, 0.0728, 0.2191)  1 O 1.08
H (0.7970, 0.4272, 0.7191)  1 O 1.08
H (0.9275, 0.1190, 0.5006)  1 O 1.09
H (0.9275, 0.3810, 0.0006)  1 O 1.09
O (0.0571, 0.5011, 0.2835)  1 H 1.35
O (0.0571, 0.9989, 0.7835)  1 H 1.35
O (0.0790, 0.6212, 0.8279)  1 P 1.52
O (0.0790, 0.8788, 0.3279)  1 P 1.52
O (0.0847, 0.6163, 0.1554)  1 P 1.52
O (0.0847, 0.8837, 0.6554)  1 P 1.52
O (0.0868, 0.1649, 0.5053)  1 H 1.36
O (0.0868, 0.3351, 0.0053)  1 H 1.36
O (0.1548, 0.5991, 0.5764)  1 P 1.53
O (0.1547, 0.6067, 0.4325)  1 P 1.53
O (0.1547, 0.8933, 0.9325)  1 P 1.53
O (0.1548, 0.9009, 0.0764)  1 P 1.53
O (0.1781, 0.1265, 0.2772)  1 H 1.08
O (0.1781, 0.3735, 0.7772)  1 H 1.08
O (0.2035, 0.5928, 0.0010)  1 H 1.09
O (0.2035, 0.9072, 0.5010)  1 H 1.09
O (0.2965, 0.0928, 0.0010)  1 H 1.09
O (0.2965, 0.4072, 0.5010)  1 H 1.09
O (0.3219, 0.6265, 0.2772)  1 H 1.08
O (0.3219, 0.8735, 0.7772)  1 H 1.08
O (0.3452, 0.0991, 0.5764)  1 P 1.53
O (0.3453, 0.1067, 0.4325)  1 P 1.53
O (0.3453, 0.3933, 0.9325)  1 P 1.53
O (0.3452, 0.4009, 0.0764)  1 P 1.53
O (0.4132, 0.6649, 0.5053)  1 H 1.36
O (0.4132, 0.8351, 0.0053)  1 H 1.36
O (0.4153, 0.1163, 0.1554)  1 P 1.52
O (0.4153, 0.3837, 0.6554)  1 P 1.52
O (0.4210, 0.1212, 0.8279)  1 P 1.52
O (0.4210, 0.3788, 0.3279)  1 P 1.52
O (0.4429, 0.0011, 0.2835)  1 H 1.35
O (0.4429, 0.4989, 0.7835)  1 H 1.35
O (0.5571, 0.5011, 0.2165)  1 H 1.35
O (0.5571, 0.9989, 0.7165)  1 H 1.35
O (0.5790, 0.6212, 0.6721)  1 P 1.52
O (0.5790, 0.8788, 0.1721)  1 P 1.52
O (0.5847, 0.6163, 0.3446)  1 P 1.52
O (0.5847, 0.8837, 0.8446)  1 P 1.52
O (0.5868, 0.1649, 0.9947)  1 H 1.36
O (0.5868, 0.3351, 0.4947)  1 H 1.36
O (0.6548, 0.5991, 0.9236)  1 P 1.53
O (0.6547, 0.6067, 0.0675)  1 P 1.53
O (0.6547, 0.8933, 0.5675)  1 P 1.53
O (0.6548, 0.9009, 0.4236)  1 P 1.53
O (0.6781, 0.1265, 0.2228)  1 H 1.08
O (0.6781, 0.3735, 0.7228)  1 H 1.08
O (0.7035, 0.5928, 0.4990)  1 H 1.09
O (0.7035, 0.9072, 0.9990)  1 H 1.09
O (0.7965, 0.0928, 0.4990)  1 H 1.09
O (0.7965, 0.4072, 0.9990)  1 H 1.09
O (0.8219, 0.6265, 0.2228)  1 H 1.08
O (0.8219, 0.8735, 0.7228)  1 H 1.08
O (0.8452, 0.0991, 0.9236)  1 P 1.53
O (0.8453, 0.1067, 0.0675)  1 P 1.53
O (0.8453, 0.3933, 0.5675)  1 P 1.53
O (0.8452, 0.4009, 0.4236)  1 P 1.53
O (0.9132, 0.6649, 0.9947)  1 H 1.36
O (0.9132, 0.8351, 0.4947)  1 H 1.36
O (0.9153, 0.1163, 0.3446)  1 P 1.52
O (0.9153, 0.3837, 0.8446)  1 P 1.52
O (0.9210, 0.1212, 0.6721)  1 P 1.52
O (0.9210, 0.3788, 0.1721)  1 P 1.52
O (0.9429, 0.0011, 0.2165)  1 H 1.35
O (0.9429, 0.4989, 0.7165)  1 H 1.35


Density functional theory data (SCAN) for Cd2Ga2Sn at its PBEsol-relaxed geometry.

## Properties
Excess energy over the best structure of this formula in the dataset: 0.000 eV/atom
Mass density: 7.4 g/cm3
D(E_F): 0.39 states/eV per atom

Unit cell a=7.2590 b=7.2590 c=7.2590 alpha=147.75 beta=147.75 gamma=46.26
With the nearest neighbours (Å) after each atom.
Element x y z (fractional)
Cd (0.1040, 0.1040, 0.0000)  1 Cd 2.78, 4 Ga 2.80
Cd (0.8960, 0.8960, 0.0000)  1 Cd 2.78, 4 Ga 2.80
Ga (0.2500, 0.7500, 0.5000)  4 Cd 2.80, 4 Ga 2.85
Ga (0.7500, 0.2500, 0.5000)  4 Cd 2.80, 4 Ga 2.85
Sn (0.5000, 0.5000, 0.0000)  8 Cd 3.17


Density functional theory data (SCAN) for Sc2ReAg at its PBEsol-relaxed geometry.

## Properties
Mass density: 8.9 g/cm3
D(E_F): 0.68 states/eV per atom
Total DFT energy (no corrections): -33.000 eV per atom

Unit cell a=3.2347 b=3.2347 c=6.8552 alpha=90.00 beta=90.00 gamma=90.00
With the nearest neighbours (Å) after each atom.
Element x y z (fractional)
Sc (0.0000, 0.0000, 0.2242)  4 Re 2.76, 4 Ag 2.97, 1 Sc 3.07
Sc (0.0000, 0.0000, 0.7758)  4 Re 2.76, 4 Ag 2.97, 1 Sc 3.07
Re (0.5000, 0.5000, 0.0000)  8 Sc 2.76
Ag (0.5000, 0.5000, 0.5000)  8 Sc 2.97, 4 Ag 3.23


Q: Look up the mass density of the seventh one.
A: 5.7 g/cm3


Q: Which of these has the highest D(E_F)?
A: Sr2Hg


Q: What is the mass density in the tenth record?
A: 7.4 g/cm3


Q: Which value of mass density does entry 8 give?
A: 3.5 g/cm3